This record from Alexandria via LeMat-Bulk describes crystalline BePPb at its relaxed geometry. The functional is PBE.

Cell: 6.2231 6.2231 6.2231 Å, 90.00 90.00 90.00°
With the nearest neighbours (Å) after each atom.
Space group F-43m (No. 216)
Inequivalent atoms, fractional coordinates:
Be: 0.0000 0.0000 0.0000  4 Pb 2.69, 4 P 2.69
P: 0.2500 0.2500 0.2500  4 Be 2.69
Pb: 0.2500 0.2500 0.7500  4 Be 2.69

## Properties
**DFT formation energy**: 155 kJ/mol of formula units
**Distance to the lowest polymorph of the same formula**: 13.75 kcal/mol of atoms
**Mass density**: 6.81 g cm⁻³
**D(E_F)**: 0.513 states/eV/atom
**Volume**: 20.083 Å³ per atom

=====

This record from Alexandria via LeMat-Bulk describes crystalline KCuPb2 at its relaxed geometry. The functional is PBE.

Cell: 3.7659 3.9957 8.2306 Å, 90.00 90.00 90.00°
With the nearest neighbours (Å) after each atom.
Space group Pmm2 (No. 25)
Inequivalent atoms, fractional coordinates:
K: 0.0000 0.0000 0.0000  5 Pb 3.51-3.80, 2 K 3.77, 4 Cu 3.86
Cu: 0.5000 0.5000 0.6698  5 Pb 2.86-2.89
Pb: 0.0000 0.0000 0.5739  4 Cu 2.86
Pb: 0.5000 0.5000 0.3192  1 Cu 2.89

## Properties
**DFT formation energy**: 57 kJ/mol of formula units
**Mass density**: 6.93 g cm⁻³
**D(E_F)**: 0.791 states/eV/atom
**Volume**: 30.963 Å³ per atom

=====

This record from Alexandria via LeMat-Bulk describes crystalline NaMg2Ir at its relaxed geometry. The functional is PBE.

Cell: 4.3752 4.3752 18.1394 Å, 90.00 90.00 90.00°
With the nearest neighbours (Å) after each atom.
Space group I-42d (No. 122)
Inequivalent atoms, fractional coordinates:
Na: 0.0000 0.0000 0.0000  4 Mg 2.83, 4 Ir 3.09
Mg: 0.2039 0.2500 0.6250  2 Ir 2.67, 2 Mg 2.82, 2 Na 2.83
Ir: 0.0000 0.0000 0.5000  4 Mg 2.67

## Properties
**DFT formation energy**: 162 kJ/mol of formula units
**Mass density**: 5.05 g cm⁻³
**D(E_F)**: 0.463 states/eV/atom
**Volume**: 21.702 Å³ per atom

=====

This record from Alexandria via LeMat-Bulk describes crystalline Sb3TeS4 at its relaxed geometry. The functional is PBE.

Cell: 14.5613 6.8821 10.3336 Å, 90.00 114.26 90.00°
With the nearest neighbours (Å) after each atom.
Space group Cc (No. 9)
Inequivalent atoms, fractional coordinates:
Sb: 0.0000 0.0096 0.0000  3 S 2.52-2.73
Sb: 0.1122 0.4743 0.1836  3 S 2.48-2.74
Sb: 0.2241 0.0177 0.4057  2 S 2.43-2.62
Te: 0.4138 0.1735 0.1158  3 Sb 3.01-3.10, 1 S 3.35
S: 0.0248 0.1684 0.2313  2 Sb 2.52-2.61
S: 0.0890 0.3339 0.9511  2 Sb 2.48-2.73
S: 0.1778 0.1488 0.6094  2 Sb 2.60-2.62
S: 0.2934 0.3201 0.3623  1 Sb 2.43

## Properties
**Mass density**: 4.37 g cm⁻³
**D(E_F)**: 0.630 states/eV/atom
**E_form (uncorrected)**: -0.0906 eV/atom
**Volume**: 29.504 Å³ per atom

=====

This record from Alexandria via LeMat-Bulk describes crystalline Tb4OsBr5 at its relaxed geometry. The functional is PBE.

Cell: 18.6191 4.0293 8.6961 Å, 90.00 103.48 90.00°
With the nearest neighbours (Å) after each atom.
Space group C2/m (No. 12)
Inequivalent atoms, fractional coordinates:
Tb: 0.0017 0.0000 0.2179  2 Os 2.76, 1 Br 3.04
Tb: 0.1464 0.5000 0.0790  1 Os 2.65, 2 Br 2.93
Os: 0.0000 0.5000 0.0000  6 Tb 2.65-2.76
Br: 0.0000 0.5000 0.5000  4 Tb 3.18
Br: 0.1689 0.0000 0.3305  3 Tb 2.93-3.04
Br: 0.1758 0.0000 0.8479  4 Tb 2.99-3.22

## Properties
**Mass density**: 6.42 g cm⁻³
**D(E_F)**: 0.608 states/eV/atom
**E_form (uncorrected)**: -1.3270 eV/atom
**Volume**: 31.721 Å³ per atom

=====

This record from Alexandria via LeMat-Bulk describes crystalline KCoAg4 at its relaxed geometry. The functional is PBE.

Cell: 7.9608 7.9608 7.9608 Å, 90.00 90.00 90.00°
With the nearest neighbours (Å) after each atom.
Space group F-43m (No. 216)
Inequivalent atoms, fractional coordinates:
K: 0.0000 0.0000 0.0000  12 Ag 3.30, 4 Co 3.45
Co: 0.2500 0.2500 0.2500  12 Ag 3.30, 4 K 3.45
Ag: 0.1243 0.1243 0.6243  6 Ag 2.80-2.83

## Properties
**DFT formation energy**: 274 kJ/mol of formula units
**Mass density**: 6.97 g cm⁻³
**D(E_F)**: 1.345 states/eV/atom
**Volume**: 21.021 Å³ per atom

=====

What is the D(E_F) in the sixth record?
1.345 states/eV/atom

=====

Please write out number 4 again, unchanged.
This record from Alexandria via LeMat-Bulk describes crystalline Sb3TeS4 at its relaxed geometry. The functional is PBE.

Cell: 14.5613 6.8821 10.3336 Å, 90.00 114.26 90.00°
With the nearest neighbours (Å) after each atom.
Space group Cc (No. 9)
Inequivalent atoms, fractional coordinates:
Sb: 0.0000 0.0096 0.0000  3 S 2.52-2.73
Sb: 0.1122 0.4743 0.1836  3 S 2.48-2.74
Sb: 0.2241 0.0177 0.4057  2 S 2.43-2.62
Te: 0.4138 0.1735 0.1158  3 Sb 3.01-3.10, 1 S 3.35
S: 0.0248 0.1684 0.2313  2 Sb 2.52-2.61
S: 0.0890 0.3339 0.9511  2 Sb 2.48-2.73
S: 0.1778 0.1488 0.6094  2 Sb 2.60-2.62
S: 0.2934 0.3201 0.3623  1 Sb 2.43

## Properties
**Mass density**: 4.37 g cm⁻³
**D(E_F)**: 0.630 states/eV/atom
**E_form (uncorrected)**: -0.0906 eV/atom
**Volume**: 29.504 Å³ per atom

=====

What is the D(E_F) in the first record?
0.513 states/eV/atom